Entry 1:
Na2CdRh3F12 | the Alexandria database | PBE-GGA | optimized geometry; SG = R-3m, No. 166; crystal system = trigonal; E = -80.3 eV/cell; Fermi-level density of states = 5.1 states/eV/cell; calculated volume = 275 Å³ per cell; M_tot = 0.0580 μB per atom; calculated density = 4196 kg/m3
1.0
-7.048 -0.514 0.573
-2.747 -6.409 -1.286
-2.392 -3.531 5.664
Na Cd Rh F
2 1 3 12
Direct
0.649 0.649 0.649
0.351 0.351 0.351
0.000 0.000 0.000
0.500 0.000 0.000
0.000 0.500 0.000
0.000 0.000 0.500
0.277 0.277 0.872
0.869 0.869 0.402
0.402 0.869 0.869
0.872 0.277 0.277
0.869 0.402 0.869
0.277 0.872 0.277
0.723 0.723 0.128
0.131 0.131 0.598
0.598 0.131 0.131
0.128 0.723 0.723
0.131 0.598 0.131
0.723 0.128 0.723

---

Entry 2:
Dy7Tm12Mg | the Alexandria database | PBE-GGA | optimized geometry; SG = R-3, No. 148; crystal system = trigonal; energy above the lowest structure with this stoichiometry = 0 meV/atom; E = -83.1 eV/cell; Fermi-level density of states = 31.3 states/eV/cell; calculated volume = 629 Å³ per cell; M_tot = 0.0000 μB per atom; DFT formation energy = 4.379 eV/f.u.; calculated density = 8414 kg/m3
1.0
-6.080 3.445 4.991
-2.490 -7.582 3.173
5.140 0.542 6.858
Dy Tm Mg
7 12 1
Direct
0.849 0.601 0.925
0.399 0.075 0.151
0.075 0.151 0.399
0.500 0.500 0.500
0.925 0.849 0.601
0.601 0.925 0.849
0.151 0.399 0.075
0.856 0.250 0.737
0.750 0.263 0.144
0.617 0.136 0.498
0.864 0.502 0.383
0.263 0.144 0.750
0.502 0.383 0.864
0.498 0.617 0.136
0.737 0.856 0.250
0.136 0.498 0.617
0.383 0.864 0.502
0.250 0.737 0.856
0.144 0.750 0.263
0.000 0.000 0.000

---

Entry 3:
KRbCuI4 | the Alexandria database | PBE-GGA | optimized geometry; SG = P2_1/m, No. 11; crystal system = monoclinic; E = -37.2 eV/cell; Fermi-level density of states = 3.6 states/eV/cell; calculated volume = 595 Å³ per cell; M_tot = 0.0000 μB per atom; calculated density = 3882 kg/m3
1.0
-0.405 -1.829 -8.319
-6.754 -1.785 0.721
-2.544 10.007 0.953
K Rb Cu I
2 2 2 8
Direct
0.733 0.750 0.441
0.267 0.250 0.559
0.706 0.750 0.927
0.294 0.250 0.073
0.230 0.750 0.310
0.770 0.250 0.690
0.998 0.506 0.752
0.002 0.006 0.248
0.002 0.494 0.248
0.998 0.994 0.752
0.412 0.750 0.141
0.588 0.250 0.859
0.385 0.750 0.566
0.615 0.250 0.434

---

Entry 4:
Cs2UInSe6 | the Alexandria database | PBE-GGA | optimized geometry; SG = Pmmn, No. 59; crystal system = orthorhombic; E = -90.5 eV/cell; Fermi-level density of states = 12.7 states/eV/cell; calculated volume = 646 Å³ per cell; M_tot = 0.0000 μB per atom; calculated density = 5616 kg/m3
1.0
-1.172 0.100 7.612
-6.923 -3.218 -1.024
4.477 -9.893 0.819
Cs U In Se
4 2 2 12
Direct
0.500 0.749 0.250
0.000 0.251 0.750
0.500 0.749 0.750
0.000 0.251 0.250
0.500 0.249 0.500
0.000 0.751 0.000
0.000 0.749 0.500
0.500 0.251 0.000
0.500 0.249 0.254
0.500 0.249 0.746
0.000 0.751 0.246
0.000 0.751 0.754
0.254 0.004 0.500
0.746 0.004 0.500
0.254 0.496 0.500
0.746 0.496 0.500
0.754 0.504 0.000
0.246 0.504 0.000
0.246 0.996 0.000
0.754 0.996 0.000

---

Entry 5:
Nd2ThGe3Rh4 | the Alexandria database | PBE-GGA | optimized geometry; SG = P-4m2, No. 115; crystal system = tetragonal; E = -68.8 eV/cell; Fermi-level density of states = 4.9 states/eV/cell; calculated volume = 205 Å³ per cell; M_tot = 0.0000 μB per atom; DFT formation energy = -8.540 eV/f.u.; calculated density = 9338 kg/m3
1.0
-1.830 0.769 3.813
-2.293 -3.617 -0.371
8.090 -5.643 5.019
Nd Th Ge Rh
2 1 3 4
Direct
0.500 0.000 0.220
0.000 0.500 0.780
0.500 0.500 0.500
0.000 0.000 0.500
0.500 0.000 0.879
0.000 0.500 0.121
0.500 0.500 0.000
0.000 0.000 0.000
0.500 0.000 0.656
0.000 0.500 0.344

---

Entry 6:
PuGa3Cu | the Alexandria database | PBE-GGA | optimized geometry; SG = P6_3/mmc, No. 194; crystal system = hexagonal; energy above the lowest structure with this stoichiometry = 53 meV/atom; E = -57.5 eV/cell; Fermi-level density of states = 24.4 states/eV/cell; calculated volume = 183 Å³ per cell; M_tot = 1.1124 μB per atom; DFT formation energy = -1.265 eV/f.u.; calculated density = 9367 kg/m3
1.0
5.445 0.000 0.000
0.000 6.233 0.000
0.000 -3.117 5.398
Pu Ga Cu
2 6 2
Direct
0.750 0.667 0.333
0.250 0.333 0.667
0.750 0.617 0.808
0.250 0.808 0.617
0.250 0.383 0.192
0.750 0.192 0.383
0.250 0.808 0.192
0.750 0.192 0.808
0.000 0.000 0.000
0.500 0.000 0.000

---

Entry 7:
Mn2TlRh | the Alexandria database | PBE-GGA | optimized geometry; SG = P4/mmm, No. 123; crystal system = tetragonal; energy above the lowest structure with this stoichiometry = 26 meV/atom; E = -27.3 eV/cell; Fermi-level density of states = 2.4 states/eV/cell; calculated volume = 66 Å³ per cell; M_tot = 2.0299 μB per atom; DFT formation energy = 0.805 eV/f.u.; calculated density = 10498 kg/m3
1.0
4.094 0.000 0.000
0.000 4.047 0.648
0.000 3.423 4.531
Mn Rh Tl
2 1 1
Direct
0.000 0.000 0.000
0.500 0.500 0.000
0.500 0.500 0.500
0.000 0.000 0.500

---

Entry 8:
BaEr3Pt | the Alexandria database | PBE-GGA | optimized geometry; SG = Pm-3m, No. 221; crystal system = cubic; E = -23.8 eV/cell; Fermi-level density of states = 5.9 states/eV/cell; calculated volume = 172 Å³ per cell; M_tot = 0.0000 μB per atom; DFT formation energy = -2.112 eV/f.u.; calculated density = 8061 kg/m3
1.0
5.560 0.000 0.000
0.000 5.560 0.000
0.000 0.000 5.560
Ba Pt Er
1 1 3
Direct
0.500 0.500 0.500
0.000 0.000 0.000
0.000 0.500 0.000
0.000 0.000 0.500
0.500 0.000 0.000